# Pm3TlN | OQMD | PBE | optimized geometry
data_Pm3TlN
_symmetry_space_group_name_H-M 'P m -3 m'
_symmetry_Int_Tables_number 221
_symmetry_space_group_name_Hall '-P 4 2 3'
_cell_length_a 4.9823
_cell_length_b 4.9823
_cell_length_c 4.9823
_cell_angle_alpha 90.00
_cell_angle_beta 90.00
_cell_angle_gamma 90.00
loop_
_atom_site_label
_atom_site_fract_x
_atom_site_fract_y
_atom_site_fract_z
Pm1 0.0000 0.0000 0.5000
Tl1 0.5000 0.5000 0.5000
N1 0.0000 0.0000 0.0000
# calculated density: 8.77 g/cm³
# total energy: -29.198 eV for the cell shown
# total moment: 0.010 Bohr magnetons per cell

---

# NaAgSnSe2S | OQMD | PBE | optimized geometry
data_NaAgSnSe2S
_symmetry_space_group_name_H-M 'C m c m'
_symmetry_Int_Tables_number 63
_symmetry_space_group_name_Hall '-C 2c 2'
_cell_length_a 3.9686
_cell_length_b 13.0104
_cell_length_c 10.7082
_cell_angle_alpha 90.00
_cell_angle_beta 90.00
_cell_angle_gamma 90.00
loop_
_atom_site_label
_atom_site_fract_x
_atom_site_fract_y
_atom_site_fract_z
Na1 0.0000 0.2143 0.2500
Ag1 0.0000 0.0803 0.7500
Sn1 0.0000 0.5000 0.0000
Se1 0.0000 0.1477 0.5244
S1 0.0000 0.4468 0.7500
# calculated density: 5.28 g/cm³
# total energy: -87.239 eV for the cell shown

---

# TaCuSbMo | OQMD | PBE | optimized geometry
data_TaCuSbMo
_symmetry_space_group_name_H-M 'F -4 3 m'
_symmetry_Int_Tables_number 216
_symmetry_space_group_name_Hall 'F -4 2 3'
_cell_length_a 6.4551
_cell_length_b 6.4551
_cell_length_c 6.4551
_cell_angle_alpha 90.00
_cell_angle_beta 90.00
_cell_angle_gamma 90.00
loop_
_atom_site_label
_atom_site_fract_x
_atom_site_fract_y
_atom_site_fract_z
Ta1 0.0000 0.0000 0.0000
Cu1 0.2500 0.2500 0.7500
Sb1 0.0000 0.0000 0.5000
Mo1 0.2500 0.2500 0.2500
# calculated density: 11.41 g/cm³
# total energy: -117.352 eV for the cell shown
# total moment: 0.734 Bohr magnetons per cell

---

# Zr5Zn4Re | OQMD | PBE | optimized geometry
data_Zr5Zn4Re
_symmetry_space_group_name_H-M 'P 4/m m m'
_symmetry_Int_Tables_number 123
_symmetry_space_group_name_Hall '-P 4 2'
_cell_length_a 3.3546
_cell_length_b 3.3546
_cell_length_c 16.4484
_cell_angle_alpha 90.00
_cell_angle_beta 90.00
_cell_angle_gamma 90.00
loop_
_atom_site_label
_atom_site_fract_x
_atom_site_fract_y
_atom_site_fract_z
Zr1 0.0000 0.0000 0.0000
Zr2 0.0000 0.0000 0.2011
Zr3 0.0000 0.0000 0.4043
Zn1 0.5000 0.5000 0.1001
Zn2 0.5000 0.5000 0.3008
Re1 0.5000 0.5000 0.5000
# calculated density: 8.11 g/cm³
# total energy: -63.160 eV for the cell shown
# total moment: 0.007 Bohr magnetons per cell

---

# Li2Y2Al2CuAu | OQMD | PBE | optimized geometry
data_Li2Y2Al2CuAu
_symmetry_space_group_name_H-M 'P -4 m 2'
_symmetry_Int_Tables_number 115
_cell_length_a 4.6488
_cell_length_b 4.6488
_cell_length_c 6.6152
_cell_angle_alpha 90.00
_cell_angle_beta 90.00
_cell_angle_gamma 90.00
loop_
_symmetry_equiv_pos_as_xyz
'x,y,z'
'y,-x,-z'
'-x,-y,z'
'-y,x,-z'
'-x,y,z'
'-y,-x,-z'
'x,-y,z'
'y,x,-z'
loop_
_atom_site_label
_atom_site_fract_x
_atom_site_fract_y
_atom_site_fract_z
Li1 0.0000 0.0000 0.0000
Li2 0.5000 0.5000 0.5000
Y1 0.0000 0.5000 0.7395
Al1 0.0000 0.5000 0.2557
Cu1 0.0000 0.0000 0.5000
Au1 0.5000 0.5000 0.0000
# calculated density: 5.88 g/cm³
# total energy: -34.988 eV for the cell shown
# total moment: 0.002 Bohr magnetons per cell

---

# HfSnSO2 | OQMD | PBE | optimized geometry
data_HfSnSO2
_symmetry_space_group_name_H-M 'C 1 m 1'
_symmetry_Int_Tables_number 8
_cell_length_a 5.6812
_cell_length_b 5.6772
_cell_length_c 5.3883
_cell_angle_alpha 90.00
_cell_angle_beta 90.81
_cell_angle_gamma 90.00
loop_
_symmetry_equiv_pos_as_xyz
'x,y,z'
'x,-y,z'
'x+1/2,y+1/2,z'
'x+1/2,-y+1/2,z'
loop_
_atom_site_label
_atom_site_fract_x
_atom_site_fract_y
_atom_site_fract_z
Hf1 0.0000 0.0000 0.0000
Sn1 0.4723 0.0000 0.6190
S1 0.4984 0.5000 0.4505
O1 0.2608 0.2422 0.9178
# calculated density: 6.90 g/cm³
# total energy: -76.534 eV for the cell shown
# total moment: 0.001 Bohr magnetons per cell

---

# TaI4Cl | OQMD | PBE | optimized geometry
data_TaI4Cl
_symmetry_space_group_name_H-M 'P -1'
_symmetry_Int_Tables_number 2
_cell_length_a 7.3108
_cell_length_b 7.8837
_cell_length_c 10.7837
_cell_angle_alpha 109.41
_cell_angle_beta 91.59
_cell_angle_gamma 114.73
loop_
_symmetry_equiv_pos_as_xyz
'x,y,z'
'-x,-y,-z'
loop_
_atom_site_label
_atom_site_fract_x
_atom_site_fract_y
_atom_site_fract_z
Ta1 0.1031 0.2182 0.2175
I1 0.0771 0.8133 0.5748
I2 0.2327 0.1756 0.9570
I3 0.3039 0.0063 0.2477
I4 0.4374 0.5711 0.3263
Cl1 0.0903 0.6445 0.8478
# calculated density: 4.60 g/cm³
# total energy: -47.117 eV for the cell shown
# total moment: 0.012 Bohr magnetons per cell

---

# BaGaSnPdAu | OQMD | PBE | optimized geometry
data_BaGaSnPdAu
_symmetry_space_group_name_H-M 'P 4/n m m'
_symmetry_Int_Tables_number 129
_cell_length_a 4.8342
_cell_length_b 4.8342
_cell_length_c 10.4631
_cell_angle_alpha 90.00
_cell_angle_beta 90.00
_cell_angle_gamma 90.00
loop_
_symmetry_equiv_pos_as_xyz
'x,y,z'
'-x,-y,-z'
'-y+1/2,x,z'
'y+1/2,-x,-z'
'-x+1/2,-y+1/2,z'
'x+1/2,y+1/2,-z'
'y,-x+1/2,z'
'-y,x+1/2,-z'
'x+1/2,-y,-z'
'-x+1/2,y,z'
'-y,-x,-z'
'y,x,z'
'-x,y+1/2,-z'
'x,-y+1/2,z'
'y+1/2,x+1/2,-z'
'-y+1/2,-x+1/2,z'
loop_
_atom_site_label
_atom_site_fract_x
_atom_site_fract_y
_atom_site_fract_z
Ba1 0.2500 0.2500 0.2479
Ga1 0.2500 0.7500 0.0000
Sn1 0.2500 0.2500 0.6432
Pd1 0.2500 0.2500 0.9056
Au1 0.2500 0.7500 0.5000
# calculated density: 8.55 g/cm³
# total energy: -41.114 eV for the cell shown

---

# RbFeAgS3 | OQMD | PBE | optimized geometry
data_RbFeAgS3
_symmetry_space_group_name_H-M 'C m c m'
_symmetry_Int_Tables_number 63
_symmetry_space_group_name_Hall '-C 2c 2'
_cell_length_a 3.5997
_cell_length_b 15.0336
_cell_length_c 9.9629
_cell_angle_alpha 90.00
_cell_angle_beta 90.00
_cell_angle_gamma 90.00
loop_
_atom_site_label
_atom_site_fract_x
_atom_site_fract_y
_atom_site_fract_z
Rb1 0.0000 0.2460 0.2500
Fe1 0.0000 0.5000 0.0000
Ag1 0.0000 0.0536 0.7500
S1 0.0000 0.1015 0.5175
S2 0.0000 0.4374 0.7500
# calculated density: 4.25 g/cm³
# total energy: -104.599 eV for the cell shown
# total moment: 9.614 Bohr magnetons per cell

---

# HfNb2Tl | OQMD | PBE | optimized geometry
data_HfNb2Tl
_symmetry_space_group_name_H-M 'F -4 3 m'
_symmetry_Int_Tables_number 216
_symmetry_space_group_name_Hall 'F -4 2 3'
_cell_length_a 6.8291
_cell_length_b 6.8291
_cell_length_c 6.8291
_cell_angle_alpha 90.00
_cell_angle_beta 90.00
_cell_angle_gamma 90.00
loop_
_atom_site_label
_atom_site_fract_x
_atom_site_fract_y
_atom_site_fract_z
Hf1 0.0000 0.0000 0.0000
Nb1 0.0000 0.0000 0.5000
Nb2 0.2500 0.2500 0.2500
Tl1 0.2500 0.2500 0.7500
# calculated density: 11.86 g/cm³
# total energy: -126.758 eV for the cell shown
# total moment: 0.022 Bohr magnetons per cell

---

# Fe3Re3Pd2 | OQMD | PBE | optimized geometry
data_Fe3Re3Pd2
_symmetry_space_group_name_H-M 'P -6 m 2'
_symmetry_Int_Tables_number 187
_symmetry_space_group_name_Hall 'P -6 2'
_cell_length_a 5.4405
_cell_length_b 5.4405
_cell_length_c 4.2317
_cell_angle_alpha 90.00
_cell_angle_beta 90.00
_cell_angle_gamma 120.00
loop_
_atom_site_label
_atom_site_fract_x
_atom_site_fract_y
_atom_site_fract_z
Fe1 0.0189 0.5095 0.0000
Re1 0.1759 0.3518 0.5000
Pd1 0.0000 0.0000 0.0000
Pd2 0.6667 0.3333 0.5000
# calculated density: 14.37 g/cm³
# total energy: -71.656 eV for the cell shown
# total moment: 4.293 Bohr magnetons per cell

---

# TlAuO3 | OQMD | PBE | optimized geometry
data_TlAuO3
_symmetry_space_group_name_H-M 'P n m a'
_symmetry_Int_Tables_number 62
_cell_length_a 5.8090
_cell_length_b 8.0508
_cell_length_c 5.5954
_cell_angle_alpha 90.00
_cell_angle_beta 90.00
_cell_angle_gamma 90.00
loop_
_symmetry_equiv_pos_as_xyz
'x,y,z'
'-x,-y,-z'
'-x+1/2,-y,z+1/2'
'x+1/2,y,-z+1/2'
'x+1/2,-y+1/2,-z+1/2'
'-x+1/2,y+1/2,z+1/2'
'-x,y+1/2,-z'
'x,-y+1/2,z'
loop_
_atom_site_label
_atom_site_fract_x
_atom_site_fract_y
_atom_site_fract_z
Tl1 0.0540 0.2500 0.0167
Au1 0.0000 0.0000 0.5000
O1 0.0755 0.7500 0.3753
O2 0.1876 0.5663 0.8074
# calculated density: 11.41 g/cm³
# total energy: -85.739 eV for the cell shown